This record from Alexandria describes an optimized crystal structure of Co3Ag5F12. The functional is PBE+U.

Cell lengths 3.178, 10.147, 10.147 Å; angles 120.00, 90.00, 90.00 degrees
Positions (direct):
Co: 0.500 0.659 0.000
Co: 0.500 0.341 0.341
Co: 0.500 0.000 0.659
Ag: 0.000 0.333 0.667
Ag: 0.000 0.667 0.333
Ag: 0.000 0.279 0.000
Ag: 0.000 0.721 0.721
Ag: 0.000 0.000 0.279
F: 0.000 0.791 0.000
F: 0.000 0.209 0.209
F: 0.000 0.000 0.791
F: 0.000 0.532 0.000
F: 0.000 0.468 0.468
F: 0.000 0.000 0.532
F: 0.500 0.220 0.443
F: 0.500 0.223 0.780
F: 0.500 0.780 0.223
F: 0.500 0.557 0.777
F: 0.500 0.777 0.557
F: 0.500 0.443 0.220

Summary:
energy	-4.13	eV per atom
symmetry	P-62m
size of the total moment	10.11	μB/cell
theoretical density	5.53	g cm⁻³